The following is a PBE-GGA calculation of a geometry-optimized Rb2TiGaO4 structure, from Alexandria.

## Properties
Its symmetry is Fddd, No. 70. The calculation puts the total energy at -6.0400 eV/atom.

```
Rb2TiGaO4
1.0
-5.182 -1.413 -0.242
-0.929 -6.821 -0.006
-3.104 -0.646 10.519
Rb O Ti Ga
4 8 2 2
direct
0.174 0.000 0.651
0.924 0.500 0.151
0.576 0.500 0.849
0.826 0.000 0.349
0.106 0.342 0.412
0.644 0.158 0.088
0.860 0.658 0.588
0.482 0.658 0.412
0.268 0.842 0.088
0.552 0.342 0.588
0.890 0.842 0.912
0.198 0.158 0.912
0.750 0.500 0.500
0.000 0.000 0.000
0.250 0.500 0.500
0.500 0.000 0.000
```



The following is a PBE-GGA calculation of a geometry-optimized La5Tb2ErTm structure, from Alexandria.

## Properties
Its symmetry is I4/mcm, No. 140. The calculation puts the total energy at -4.4755 eV/atom.

```
La5Tb2ErTm
1.0
-1.343 5.189 -6.111
-6.902 -3.901 -1.795
-0.763 5.215 10.002
La Tb Tm Er
10 4 2 2
direct
0.852 0.922 0.273
0.500 0.500 0.000
0.078 0.578 0.727
0.648 0.148 0.727
0.922 0.422 0.273
0.422 0.352 0.273
0.352 0.852 0.273
0.000 0.000 0.000
0.148 0.078 0.727
0.578 0.648 0.727
0.629 0.129 0.000
0.871 0.629 0.000
0.371 0.871 0.000
0.129 0.371 0.000
0.250 0.750 0.500
0.750 0.250 0.500
0.250 0.250 0.500
0.750 0.750 0.500
```



The following is a PBE-GGA calculation of a geometry-optimized Tb6HgS4 structure, from Alexandria.

## Properties
Its symmetry is Cmcm, No. 63. The calculation puts the total energy at -5.6372 eV/atom.

```
Tb6HgS4
1.0
3.959 0.000 0.000
-1.980 6.536 0.000
0.000 0.000 20.196
S Hg Tb
8 2 12
direct
0.594 0.189 0.878
0.594 0.189 0.622
0.863 0.726 0.540
0.137 0.274 0.040
0.406 0.811 0.378
0.137 0.274 0.460
0.863 0.726 0.960
0.406 0.811 0.122
0.659 0.317 0.250
0.341 0.683 0.750
0.960 0.920 0.841
0.663 0.326 0.750
0.040 0.080 0.159
0.771 0.543 0.083
0.040 0.080 0.341
0.337 0.674 0.250
0.500 0.000 0.500
0.960 0.920 0.659
0.771 0.543 0.417
0.500 0.000 0.000
0.229 0.457 0.917
0.229 0.457 0.583
```



The following is a PBE-GGA calculation of a geometry-optimized BaRe2Ru structure, from Alexandria.

## Properties
Its symmetry is Pm, No. 6. The offset from the most stable computed form is 0.472 eV/f.u. The calculation puts the total energy at -8.3275 eV/atom.

```
BaRe2Ru
1.0
-2.192 -0.033 -2.710
0.596 -2.881 -0.447
-5.376 -4.942 4.408
Re Ba Ru
2 1 1
direct
0.000 0.893 0.082
0.500 0.297 0.248
0.500 0.742 0.747
0.000 0.568 0.422
```



The following is a PBE-GGA calculation of a geometry-optimized Hf3Al3Zn structure, from Alexandria.

## Properties
Its symmetry is C2/m, No. 12. The calculation puts the total energy at -6.3943 eV/atom.

```
Hf3Al3Zn
1.0
-2.949 -1.195 0.799
-2.382 -1.860 -4.835
4.177 -13.782 1.551
Hf Al Zn
6 6 2
direct
0.486 0.394 0.633
0.365 0.343 0.926
0.245 0.283 0.227
0.514 0.606 0.367
0.635 0.657 0.074
0.755 0.717 0.773
0.101 0.872 0.925
0.864 0.747 0.524
0.019 0.183 0.779
0.136 0.253 0.476
0.899 0.128 0.075
0.981 0.817 0.221
0.208 0.951 0.632
0.792 0.049 0.368
```